Record 1
VASP calculation (PBE) on a relaxed La4Os2Cl crystal.

a = 7.948 Å, b = 7.948 Å, c = 7.948 Å
α = 109.91°, β = 109.91°, γ = 108.60°
Fractional positions:
1 La 0.850 0.716 0.251
2 La 0.966 0.600 0.751
3 La 0.850 0.216 0.249
4 La 0.466 0.600 0.749
5 La 0.784 0.034 0.634
6 La 0.400 0.150 0.366
7 La 0.284 0.534 0.134
8 La 0.400 0.150 0.866
9 Os 0.743 0.375 0.868
10 Os 0.125 0.257 0.632
11 Os 0.625 0.493 0.368
12 Os 0.507 0.875 0.132
13 Cl 0.000 0.000 0.000
14 Cl 0.250 0.750 0.500

Computed properties:
Electronic total energy   -47.74 eV per formula unit
E_form (uncorrected)   -0.532 eV per atom
Crystal system   tetragonal
Symmetry   I-42d (122)

Record 2
VASP calculation (PBE) on a relaxed LaOsCl2 crystal.

a = 9.200 Å, b = 9.200 Å, c = 9.200 Å
α = 20.67°, β = 20.67°, γ = 20.67°
Fractional positions:
1 La 0.500 0.500 0.500
2 Cl 0.914 0.914 0.914
3 Cl 0.086 0.086 0.086
4 Os 0.000 0.000 0.000

Computed properties:
Electronic total energy   -20.36 eV per formula unit
E_form (uncorrected)   -0.129 eV per atom
Relative energy among the computed polymorphs   549 meV/atom
Crystal system   trigonal
Symmetry   R-3m (166)

Record 3
VASP calculation (PBE) on a relaxed LaOsCl2 crystal.

a = 3.436 Å, b = 5.303 Å, c = 4.525 Å
α = 90.00°, β = 90.00°, γ = 90.00°
Fractional positions:
1 Cl 0.000 0.000 0.000
2 Cl 0.500 0.500 0.000
3 Os 0.000 0.500 0.500
4 La 0.500 0.000 0.500

Computed properties:
Electronic total energy   -20.72 eV per formula unit
E_form (uncorrected)   -0.216 eV per atom
Relative energy among the computed polymorphs   461 meV/atom
Crystal system   orthorhombic
Symmetry   Pmmm (47)